Entry 1:
A plane-wave DFT calculation with PBE was carried out for La5HoIn2 after structural relaxation.

Properties
- Calculated volume: 253.1 Å³/f.u.
- Total magnetic moment: 0.0000 μB per atom
- Energy of formation from the pure elements: -0.194 eV/atom
- Distance to the lowest polymorph of the same formula: 0.0000 eV/atom

Structure (POSCAR):
```
La5HoIn2
1.0
7.969 0.000 0.000
0.000 16.563 0.000
0.000 0.000 3.836
La Ho In
10 2 4
Direct
0.000 0.000 0.000
0.015 0.247 0.000
0.225 0.871 0.500
0.275 0.371 0.500
0.485 0.747 0.000
0.500 0.500 0.000
0.515 0.253 0.000
0.725 0.629 0.500
0.775 0.129 0.500
0.985 0.753 0.000
0.000 0.500 0.000
0.500 0.000 0.000
0.230 0.620 0.500
0.270 0.120 0.500
0.730 0.880 0.500
0.770 0.380 0.500
```

---

Entry 2:
A plane-wave DFT calculation with PBE was carried out for Li3BN after structural relaxation.

Properties
- Calculated volume: 55.8 Å³/f.u.
- Total magnetic moment: 0.0000 μB per atom
- Distance to the lowest polymorph of the same formula: 0.0000 eV/atom

Structure (POSCAR):
```
Li3BN
1.0
3.822 0.000 0.000
0.000 3.822 0.000
0.000 0.000 3.822
Li B N
3 1 1
Direct
0.000 0.000 0.500
0.000 0.500 0.000
0.500 0.000 0.000
0.500 0.500 0.500
0.000 0.000 0.000
```

---

Entry 3:
A plane-wave DFT calculation with PBE was carried out for Dy3Pu2NpSe6 after structural relaxation.

Properties
- Raw total energy: -7.947 eV/atom
- Calculated volume: 292.6 Å³/f.u.
- Total magnetic moment: 1.3517 μB per atom

Structure (POSCAR):
```
Dy3Pu2NpSe6
1.0
8.959 -2.042 0.000
8.959 2.042 0.000
-1.968 0.000 7.996
Dy Pu Np Se
3 2 1 6
Direct
0.000 0.000 0.000
0.333 0.333 0.666
0.667 0.667 0.334
0.334 0.334 0.167
0.666 0.666 0.833
0.000 0.000 0.500
0.166 0.166 0.087
0.167 0.167 0.581
0.499 0.499 0.752
0.501 0.501 0.248
0.833 0.833 0.419
0.834 0.834 0.913
```

---

Entry 4:
A plane-wave DFT calculation with PBE was carried out for Pa4Ni2Bi5 after structural relaxation.

Properties
- Calculated volume: 284.6 Å³/f.u.
- Total magnetic moment: 0.0405 μB per atom
- Energy of formation from the pure elements: -0.166 eV/atom

Structure (POSCAR):
```
Pa4Ni2Bi5
1.0
8.105 0.000 0.000
0.000 3.295 0.000
-1.255 0.000 10.658
Pa Ni Bi
4 2 5
Direct
0.196 0.000 0.328
0.201 0.000 0.924
0.799 0.000 0.076
0.804 0.000 0.672
0.074 0.500 0.115
0.926 0.500 0.885
0.150 0.500 0.644
0.444 0.500 0.157
0.500 0.500 0.500
0.556 0.500 0.843
0.850 0.500 0.356
```

---

Entry 5:
A plane-wave DFT calculation with PBE was carried out for Tl5H2Se3 after structural relaxation.

Properties
- Raw total energy: -2.979 eV/atom
- Calculated volume: 278.7 Å³/f.u.
- Total magnetic moment: 0.0000 μB per atom

Structure (POSCAR):
```
Tl5H2Se3
1.0
7.968 0.000 0.000
-0.321 8.349 0.000
-0.406 -0.719 8.379
Tl H Se
10 4 6
Direct
0.099 0.399 0.245
0.137 0.851 0.154
0.259 0.092 0.561
0.391 0.626 0.621
0.400 0.244 0.928
0.600 0.756 0.072
0.609 0.374 0.379
0.741 0.908 0.439
0.863 0.149 0.846
0.901 0.601 0.755
0.077 0.103 0.895
0.411 0.382 0.550
0.589 0.618 0.450
0.923 0.897 0.105
0.098 0.737 0.456
0.248 0.608 0.952
0.398 0.062 0.228
0.602 0.938 0.772
0.752 0.392 0.048
0.902 0.263 0.544
```

---

Entry 6:
A plane-wave DFT calculation with PBE was carried out for La2NdGa after structural relaxation.

Properties
- Calculated volume: 133.1 Å³/f.u.
- Total magnetic moment: 0.0000 μB per atom
- Energy of formation from the pure elements: -0.151 eV/atom
- Distance to the lowest polymorph of the same formula: 0.1053 eV/atom

Structure (POSCAR):
```
La2NdGa
1.0
1.901 1.097 10.633
-1.901 1.097 10.633
0.000 -2.195 10.633
La Nd Ga
2 1 1
Direct
0.000 0.000 0.000
0.192 0.192 0.192
0.762 0.762 0.762
0.596 0.596 0.596
```

---

Entry 7:
A plane-wave DFT calculation with PBE was carried out for Nd2ZnCu4Ge3 after structural relaxation.

Properties
- Calculated volume: 177.5 Å³/f.u.
- Total magnetic moment: 0.0000 μB per atom
- Energy of formation from the pure elements: -0.487 eV/atom

Structure (POSCAR):
```
Nd2ZnCu4Ge3
1.0
4.165 0.000 0.000
0.000 4.165 0.000
0.000 0.000 10.232
Nd Zn Cu Ge
2 1 4 3
Direct
0.000 0.500 0.244
0.500 0.000 0.756
0.000 0.000 0.500
0.000 0.000 0.000
0.000 0.500 0.633
0.500 0.000 0.367
0.500 0.500 0.000
0.000 0.500 0.867
0.500 0.000 0.133
0.500 0.500 0.500
```

---

Entry 8:
A plane-wave DFT calculation with PBE was carried out for Ac6PbN3 after structural relaxation.

Properties
- Raw total energy: -5.898 eV/atom
- Calculated volume: 297.3 Å³/f.u.
- Total magnetic moment: 0.0002 μB per atom

Structure (POSCAR):
```
Ac6PbN3
1.0
4.984 -7.327 0.000
4.984 7.327 0.000
0.000 0.000 4.070
Ac Pb N
6 1 3
Direct
0.189 0.811 0.000
0.194 0.447 0.500
0.447 0.194 0.500
0.553 0.806 0.500
0.806 0.553 0.500
0.811 0.189 0.000
0.000 0.000 0.500
0.000 0.500 0.000
0.500 0.000 0.000
0.500 0.500 0.500
```

---

Entry 9:
A plane-wave DFT calculation with PBE was carried out for KTl3As3 after structural relaxation.

Properties
- Calculated volume: 212.2 Å³/f.u.
- Total magnetic moment: 0.0000 μB per atom
- Energy of formation from the pure elements: -0.078 eV/atom

Structure (POSCAR):
```
KTl3As3
1.0
4.586 2.648 5.824
-4.586 2.648 5.824
0.000 -5.296 5.824
K Tl As
2 6 6
Direct
0.126 0.126 0.126
0.874 0.874 0.874
0.136 0.553 0.252
0.252 0.136 0.553
0.447 0.748 0.864
0.553 0.252 0.136
0.748 0.864 0.447
0.864 0.447 0.748
0.221 0.740 0.486
0.260 0.514 0.779
0.486 0.221 0.740
0.514 0.779 0.260
0.740 0.486 0.221
0.779 0.260 0.514
```

---

Entry 10:
A plane-wave DFT calculation with PBE was carried out for Pr8Mg after structural relaxation.

Properties
- Calculated volume: 314.1 Å³/f.u.
- Total magnetic moment: 0.0000 μB per atom
- Energy of formation from the pure elements: 0.013 eV/atom
- Distance to the lowest polymorph of the same formula: 0.0000 eV/atom

Structure (POSCAR):
```
Pr8Mg
1.0
-5.498 5.498 2.598
5.498 -5.498 2.598
5.498 5.498 -2.598
Pr Mg
8 1
Direct
0.000 0.331 0.331
0.000 0.669 0.669
0.331 0.000 0.331
0.335 0.335 0.669
0.335 0.665 0.000
0.665 0.335 0.000
0.665 0.665 0.331
0.669 0.000 0.669
0.000 0.000 0.000
```

---

Entry 11:
A plane-wave DFT calculation with PBE was carried out for K2InHg3Bi4 after structural relaxation.

Properties
- Calculated volume: 345.9 Å³/f.u.
- Total magnetic moment: 0.0000 μB per atom
- Energy of formation from the pure elements: -0.151 eV/atom

Structure (POSCAR):
```
K2InHg3Bi4
1.0
5.007 0.000 0.000
0.000 5.007 0.000
0.000 0.000 13.797
K In Hg Bi
2 1 3 4
Direct
0.000 0.500 0.245
0.500 0.000 0.755
0.000 0.000 0.500
0.000 0.500 0.854
0.500 0.000 0.146
0.500 0.500 0.500
0.000 0.000 0.000
0.000 0.500 0.632
0.500 0.000 0.368
0.500 0.500 0.000
```

---

Entry 12:
A plane-wave DFT calculation with PBE was carried out for LiCdAg2 after structural relaxation.

Properties
- Calculated volume: 71.7 Å³/f.u.
- Total magnetic moment: 0.0000 μB per atom
- Energy of formation from the pure elements: -0.174 eV/atom

Structure (POSCAR):
```
LiCdAg2
1.0
-2.112 2.112 4.018
2.112 -2.112 4.018
2.112 2.112 -4.018
Li Cd Ag
1 1 2
Direct
0.000 0.000 0.000
0.500 0.500 0.000
0.250 0.750 0.500
0.750 0.250 0.500
```

---

Entry 13:
A plane-wave DFT calculation with PBE was carried out for SrCd11Pb after structural relaxation.

Properties
- Calculated volume: 326.8 Å³/f.u.
- Total magnetic moment: 0.0000 μB per atom
- Energy of formation from the pure elements: -0.082 eV/atom

Structure (POSCAR):
```
SrCd11Pb
1.0
3.164 -7.190 0.000
3.164 7.190 0.000
-3.033 0.000 7.183
Sr Cd Pb
1 11 1
Direct
0.000 0.000 0.000
0.000 0.500 0.000
0.014 0.377 0.350
0.306 0.523 0.792
0.377 0.014 0.350
0.477 0.694 0.208
0.500 0.000 0.000
0.500 0.500 0.500
0.523 0.306 0.792
0.623 0.986 0.650
0.694 0.477 0.208
0.986 0.623 0.650
0.000 0.000 0.500
```

---

Entry 14:
A plane-wave DFT calculation with PBE was carried out for TbYBr after structural relaxation.

Properties
- Calculated volume: 88.1 Å³/f.u.
- Total magnetic moment: 0.0903 μB per atom
- Distance to the lowest polymorph of the same formula: 0.0451 eV/atom

Structure (POSCAR):
```
TbYBr
1.0
3.739 0.000 0.000
-1.870 3.238 0.000
0.000 0.000 7.273
Tb Y Br
1 1 1
Direct
0.000 0.000 0.000
0.333 0.667 0.634
0.667 0.333 0.320
```

---

Entry 15:
A plane-wave DFT calculation with PBE was carried out for Hf4Ga3Fe after structural relaxation.

Properties
- Calculated volume: 144.1 Å³/f.u.
- Total magnetic moment: 0.0138 μB per atom
- Energy of formation from the pure elements: -0.418 eV/atom

Structure (POSCAR):
```
Hf4Ga3Fe
1.0
3.403 0.000 0.000
0.000 4.101 0.000
0.000 0.000 10.330
Hf Ga Fe
4 3 1
Direct
0.000 0.000 0.000
0.000 0.500 0.282
0.500 0.000 0.470
0.500 0.500 0.801
0.000 0.000 0.718
0.000 0.500 0.563
0.500 0.500 0.069
0.500 0.000 0.225
```

---

Entry 16:
A plane-wave DFT calculation with PBE was carried out for Sc2TaCr after structural relaxation.

Properties
- Calculated volume: 77.4 Å³/f.u.
- Total magnetic moment: 0.4097 μB per atom
- Energy of formation from the pure elements: 0.571 eV/atom
- Distance to the lowest polymorph of the same formula: 0.4493 eV/atom

Structure (POSCAR):
```
Sc2TaCr
1.0
1.487 0.858 10.103
-1.487 0.858 10.103
0.000 -1.717 10.103
Sc Ta Cr
2 1 1
Direct
0.095 0.095 0.095
0.905 0.905 0.905
0.000 0.000 0.000
0.500 0.500 0.500
```

---

Entry 17:
A plane-wave DFT calculation with PBE was carried out for Sc2TaTc after structural relaxation.

Properties
- Calculated volume: 79.7 Å³/f.u.
- Total magnetic moment: 0.0000 μB per atom
- Energy of formation from the pure elements: 0.055 eV/atom
- Distance to the lowest polymorph of the same formula: 0.2385 eV/atom

Structure (POSCAR):
```
Sc2TaTc
1.0
1.564 0.903 9.403
-1.564 0.903 9.403
0.000 -1.806 9.403
Sc Ta Tc
2 1 1
Direct
0.000 0.000 0.000
0.229 0.229 0.229
0.753 0.753 0.753
0.488 0.488 0.488
```

---

Entry 18:
A plane-wave DFT calculation with PBE was carried out for NaCdRe3 after structural relaxation.

Properties
- Calculated volume: 93.8 Å³/f.u.
- Total magnetic moment: 0.7096 μB per atom
- Energy of formation from the pure elements: 3.018 eV/atom
- Distance to the lowest polymorph of the same formula: 0.0000 eV/atom

Structure (POSCAR):
```
NaCdRe3
1.0
4.543 0.000 0.000
0.000 4.543 0.000
0.000 0.000 4.543
Na Cd Re
1 1 3
Direct
0.000 0.000 0.000
0.500 0.500 0.500
0.000 0.000 0.500
0.000 0.500 0.000
0.500 0.000 0.000
```

---

Entry 19:
A plane-wave DFT calculation with PBE was carried out for CeH3 after structural relaxation.

Properties
- Calculated volume: 39.2 Å³/f.u.
- Total magnetic moment: 0.2511 μB per atom
- Distance to the lowest polymorph of the same formula: 0.0000 eV/atom

Structure (POSCAR):
```
CeH3
1.0
-1.828 1.828 2.935
1.828 -1.828 2.935
1.828 1.828 -2.935
Ce H
1 3
Direct
0.000 0.000 0.000
0.250 0.750 0.500
0.500 0.500 0.000
0.750 0.250 0.500
```